(1)
Compound: GaWCl3
Source: the Alexandria database
Functional: PBE-GGA
Structure: optimized geometry

Properties
As for the density of states at the Fermi level: 7.2 states/eV per cell. For the calculated total energy, the calculation gives -17.89 eV for the cell shown. The formation energy (no corrections) comes out at 725 meV per atom.

a = 4.9850 Å, b = 4.9850 Å, c = 4.9850 Å
α = 90.00°, β = 90.00°, γ = 90.00°
Closest atoms and distances in Å follow each position.
Sites, in units of the cell vectors:
Ga 0.0000 0.0000 0.0000  6 Cl 2.49
W 0.5000 0.5000 0.5000  12 Cl 3.52
Cl 0.0000 0.0000 0.5000  2 Ga 2.49
Cl 0.0000 0.5000 0.0000  2 Ga 2.49
Cl 0.5000 0.0000 0.0000  2 Ga 2.49

---

(2)
Compound: TaICl4
Source: the Alexandria database
Functional: PBE-GGA
Structure: optimized geometry

Properties
For the calculated total energy, the calculation gives -53.94 eV for the cell shown. The formation energy (no corrections) comes out at -1030 meV per atom.

a = 5.7449 Å, b = 7.2765 Å, c = 13.2400 Å
α = 90.00°, β = 115.08°, γ = 90.00°
Closest atoms and distances in Å follow each position.
Sites, in units of the cell vectors:
Ta 0.0000 0.0000 0.0000  4 Cl 2.32
Ta 0.0000 0.5000 0.5000  4 Cl 2.32
I 0.5000 0.0000 0.0000  2 Ta 2.87
I 0.5000 0.5000 0.5000  2 Ta 2.87
Cl 0.0974 0.2265 0.5999  1 Ta 2.32
Cl 0.0974 0.2735 0.0999  1 Ta 2.32
Cl 0.1624 0.6647 0.6660  1 Ta 2.32
Cl 0.1624 0.8353 0.1660  1 Ta 2.32
Cl 0.8376 0.1647 0.8340  1 Ta 2.32
Cl 0.8376 0.3353 0.3340  1 Ta 2.32
Cl 0.9026 0.7265 0.9001  1 Ta 2.32
Cl 0.9026 0.7735 0.4001  1 Ta 2.32

---

(3)
Compound: PuTiNbO6
Source: the Alexandria database
Functional: PBE-GGA
Structure: optimized geometry

Properties
As for the density of states at the Fermi level: 16.6 states/eV per cell. For the calculated total energy, the calculation gives -175.70 eV for the cell shown. The formation energy (no corrections) comes out at -2867 meV per atom.

a = 5.2301 Å, b = 5.2301 Å, c = 9.9465 Å
α = 90.00°, β = 90.00°, γ = 120.00°
Closest atoms and distances in Å follow each position.
Sites, in units of the cell vectors:
Pu 0.0000 0.0000 0.0000  6 O 2.33
Pu 0.0000 0.0000 0.5000  6 O 2.33
Ti 0.3333 0.6667 0.2500  6 O 1.99
Ti 0.6667 0.3333 0.7500  6 O 1.99
Nb 0.3333 0.6667 0.7500  6 O 2.03
Nb 0.6667 0.3333 0.2500  6 O 2.03
O 0.0052 0.3605 0.1400  1 Ti 1.99, 1 Nb 2.03
O 0.0052 0.6447 0.3600  1 Ti 1.99, 1 Nb 2.03
O 0.3553 0.3605 0.3600  1 Ti 1.99, 1 Nb 2.03
O 0.3553 0.9948 0.1400  1 Ti 1.99, 1 Nb 2.03
O 0.3605 0.0052 0.6400  1 Ti 1.99, 1 Nb 2.03
O 0.3605 0.3553 0.8600  1 Ti 1.99, 1 Nb 2.03
O 0.6395 0.6447 0.1400  1 Ti 1.99, 1 Nb 2.03
O 0.6395 0.9948 0.3600  1 Ti 1.99, 1 Nb 2.03
O 0.6447 0.0052 0.8600  1 Ti 1.99, 1 Nb 2.03
O 0.6447 0.6395 0.6400  1 Ti 1.99, 1 Nb 2.03
O 0.9948 0.3553 0.6400  1 Ti 1.99, 1 Nb 2.03
O 0.9948 0.6395 0.8600  1 Ti 1.99, 1 Nb 2.03

---

Which value of calculated total energy does entry 1 give?
-17.89 eV for the cell shown